The following is a GGA-PBE calculation of crystalline Nd12Mg3Hg5 at its relaxed geometry, from the Alexandria database.

Crystal system: cubic
Formation enthalpy at 0 K in meV per atom: 234
SG: No. 230
Calculated volume in Å³/cell: 3086.7
Electronic total energy in eV per atom: -2.942

a = 15.887 Å, b = 15.887 Å, c = 15.887 Å
α = 109.47°, β = 109.47°, γ = 109.47°
Atoms (fractional coordinates):
Mg  0.750  0.375  0.125
Mg  0.875  0.750  0.125
Mg  0.375  0.750  0.625
Mg  0.250  0.125  0.375
Mg  0.875  0.125  0.250
Mg  0.375  0.625  0.250
Mg  0.625  0.375  0.750
Mg  0.125  0.875  0.750
Mg  0.750  0.875  0.625
Mg  0.625  0.250  0.375
Mg  0.125  0.250  0.875
Mg  0.250  0.625  0.875
Hg  0.125  0.375  0.250
Hg  0.000  0.500  0.000
Hg  0.000  0.000  0.000
Hg  0.375  0.250  0.125
Hg  0.500  0.000  0.500
Hg  0.500  0.500  0.000
Hg  0.125  0.750  0.375
Hg  0.750  0.125  0.875
Hg  0.750  0.625  0.375
Hg  0.375  0.125  0.750
Hg  0.625  0.875  0.250
Hg  0.500  0.500  0.500
Hg  0.500  0.000  0.000
Hg  0.000  0.000  0.500
Hg  0.250  0.375  0.625
Hg  0.250  0.875  0.125
Hg  0.000  0.500  0.500
Hg  0.875  0.250  0.625
Hg  0.625  0.750  0.875
Hg  0.875  0.625  0.750
Nd  0.722  0.134  0.057
Nd  0.335  0.557  0.423
Nd  0.943  0.366  0.278
Nd  0.557  0.222  0.134
Nd  0.588  0.722  0.665
Nd  0.943  0.577  0.165
Nd  0.335  0.778  0.412
Nd  0.077  0.912  0.134
Nd  0.577  0.943  0.665
Nd  0.722  0.588  0.165
Nd  0.778  0.443  0.366
Nd  0.835  0.923  0.057
Nd  0.134  0.722  0.557
Nd  0.366  0.423  0.088
Nd  0.088  0.923  0.366
Nd  0.412  0.134  0.577
Nd  0.088  0.165  0.222
Nd  0.443  0.665  0.077
Nd  0.835  0.912  0.278
Nd  0.134  0.412  0.077
Nd  0.366  0.943  0.778
Nd  0.577  0.634  0.412
Nd  0.923  0.835  0.557
Nd  0.778  0.335  0.912
Nd  0.423  0.366  0.588
Nd  0.077  0.165  0.443
Nd  0.222  0.665  0.088
Nd  0.165  0.088  0.722
Nd  0.634  0.057  0.222
Nd  0.866  0.588  0.923
Nd  0.557  0.335  0.923
Nd  0.588  0.866  0.423
Nd  0.912  0.835  0.778
Nd  0.912  0.077  0.634
Nd  0.866  0.278  0.443
Nd  0.165  0.077  0.943
Nd  0.634  0.577  0.912
Nd  0.423  0.057  0.335
Nd  0.278  0.412  0.835
Nd  0.222  0.557  0.634
Nd  0.923  0.088  0.866
Nd  0.665  0.222  0.588
Nd  0.443  0.778  0.866
Nd  0.057  0.423  0.835
Nd  0.412  0.278  0.335
Nd  0.057  0.634  0.722
Nd  0.665  0.443  0.577
Nd  0.278  0.866  0.943